Record 1
! PBE SrZr2Co, optimized geometry; values from VASP
&SYSTEM
  ibrav = 0, nat = 4, ntyp = 3
/
ATOMIC_SPECIES
Sr 87.62 Sr.upf
Zr 91.22 Zr.upf
Co 58.93 Co.upf
ATOMIC_POSITIONS crystal
Sr 0.196 0.196 0.259
Zr 0.036 0.036 0.889
Zr 0.814 0.814 0.632
Co 0.454 0.454 0.720
CELL_PARAMETERS angstrom
-3.248 1.069 4.008
-5.065 -0.595 1.322
-1.294 -4.948 3.940
! energy relative to the lowest polymorph listed for this composition = 0.094 eV per atom
! symmetry = Cm



Record 2
! PBE SrZr2Co, optimized geometry; values from VASP
&SYSTEM
  ibrav = 0, nat = 4, ntyp = 3
/
ATOMIC_SPECIES
Zr 91.22 Zr.upf
Co 58.93 Co.upf
Sr 87.62 Sr.upf
ATOMIC_POSITIONS crystal
Zr 0.000 0.000 0.000
Co 0.500 0.500 0.000
Zr 0.000 0.500 0.500
Sr 0.500 0.000 0.500
CELL_PARAMETERS angstrom
5.193 0.000 0.000
0.000 4.210 0.000
0.000 0.000 4.210
! energy relative to the lowest polymorph listed for this composition = 0.510 eV per atom
! symmetry = P4/mmm



Record 3
! PBE SrZrCo4, optimized geometry; values from VASP
&SYSTEM
  ibrav = 0, nat = 6, ntyp = 3
/
ATOMIC_SPECIES
Co 58.93 Co.upf
Zr 91.22 Zr.upf
Sr 87.62 Sr.upf
ATOMIC_POSITIONS crystal
Co 0.373 0.373 0.373
Zr 0.000 0.000 0.000
Co 0.373 0.880 0.373
Sr 0.750 0.750 0.750
Co 0.880 0.373 0.373
Co 0.373 0.373 0.880
CELL_PARAMETERS angstrom
2.427 1.968 3.994
-2.327 0.277 4.497
1.473 -3.010 3.807
! symmetry = F-43m



| no. | formation enthalpy at 0 K (eV per atom) | uncorrected energy (eV/cell) |
| --- | --- | --- |
| 1 | 0.24 | -24.9 |
| 2 | 0.66 | -23.3 |
| 3 | 0.15 | -37.7 |